Density functional theory data (PBE) for MgZr2I2Cl4 after structural relaxation.

Structure (CIF):
```
data_MgZr2I2Cl4
_symmetry_space_group_name_H-M 'P 3 m 1'
_symmetry_Int_Tables_number 156
_symmetry_space_group_name_Hall 'P 3 -2"'
_cell_length_a 3.6505
_cell_length_b 3.6505
_cell_length_c 22.7163
_cell_angle_alpha 90.00
_cell_angle_beta 90.00
_cell_angle_gamma 120.00
loop_
_atom_site_label
_atom_site_fract_x
_atom_site_fract_y
_atom_site_fract_z
Mg1 0.0000 0.0000 0.0000
Zr1 0.0000 0.0000 0.6481
Zr2 0.6667 0.3333 0.3379
I1 0.6667 0.3333 0.0847
I2 0.6667 0.3333 0.9153
Cl1 0.0000 0.0000 0.2661
Cl2 0.0000 0.0000 0.4098
Cl3 0.6667 0.3333 0.5762
Cl4 0.6667 0.3333 0.7200
```

Values from the calculation:
Raw formation energy ... -1.2593 eV per atom